{"formula": "CrAgI2F", "functional": "PBE+U", "state": "optimized geometry", "lattice": [[5.789, 0.000, 0.000], [0.000, 5.789, 0.000], [0.000, 0.000, 3.962]], "species": ["Cr", "F", "I", "I", "Ag"], "frac_coords": [[0.000, 0.000, 0.000], [0.000, 0.000, 0.500], [0.500, 0.000, 0.000], [0.000, 0.500, 0.000], [0.500, 0.500, 0.500]], "space_group": "P4/mmm, No. 123", "e_tot_ha_per_atom": -0.142}